(1)
## Er2ScRu3 (PBE)

Data for a relaxed Er2ScRu3 crystal.

```
6
Lattice="3.324 0.000 0.000 0.000 3.324 0.000 0.000 0.000 9.907" Properties=species:S:1:pos:R:3 pbc="T T T"
Er 0.000 0.000 1.695
Er 0.000 0.000 8.212
Sc 0.000 0.000 4.953
Ru 1.662 1.662 0.000
Ru 1.662 1.662 3.398
Ru 1.662 1.662 6.509
```

## Properties
Space-group type: P4/mmm
Energy relative to the lowest polymorph listed for this composition (eV/f.u.): 0.00
ΔH_f (0 K) (eV per atom): -0.4255

---

(2)
## NaTlZn3 (PBE)

Data for a relaxed NaTlZn3 crystal.

```
5
Lattice="5.352 0.000 0.000 0.000 5.352 0.000 0.000 0.000 5.352" Properties=species:S:1:pos:R:3 pbc="T T T"
Na 0.000 0.000 0.000
Tl 2.676 2.676 2.676
Zn 0.000 2.676 2.676
Zn 2.676 0.000 2.676
Zn 2.676 2.676 0.000
```

## Properties
Space-group type: Pm-3m
Energy relative to the lowest polymorph listed for this composition (eV/f.u.): 0.00
ΔH_f (0 K) (eV per atom): 0.4210

---

(3)
## DyTmF (PBE)

Data for a relaxed DyTmF crystal.

```
6
Lattice="0.000 3.714 5.224 3.699 0.000 5.224 3.699 3.714 0.000" Properties=species:S:1:pos:R:3 pbc="T T T"
Dy 1.849 0.000 2.612
Dy 1.849 3.714 2.612
Tm 3.699 1.783 5.224
Tm 3.699 5.645 5.224
F 3.699 3.714 3.992
F 3.699 3.714 6.456
```

## Properties
Space-group type: Fmmm
E_form (uncorrected) (meV per atom): -1700

---

(4)
## ZnFe2HPd (PBE)

Data for a relaxed ZnFe2HPd crystal.

```
5
Lattice="3.672 0.000 0.000 0.000 3.672 0.000 0.000 0.000 4.090" Properties=species:S:1:pos:R:3 pbc="T T T"
Zn 0.000 0.000 0.000
Fe 0.000 1.836 2.045
Fe 1.836 0.000 2.045
H 1.836 1.836 2.045
Pd 1.836 1.836 0.000
```

## Properties
Space-group type: P4/mmm
Energy relative to the lowest polymorph listed for this composition (eV/f.u.): 0.00

---

(5)
## AgSb (PBE)

Data for a relaxed AgSb crystal.

```
4
Lattice="4.378 0.000 0.000 -1.071 4.677 0.000 -0.330 -2.090 4.797" Properties=species:S:1:pos:R:3 pbc="T T T"
Ag 0.534 -0.427 1.331
Ag 2.443 3.014 3.466
Sb 0.439 0.952 3.862
Sb 2.538 1.635 0.935
```

## Properties
Space-group type: P-1
Energy relative to the lowest polymorph listed for this composition (eV/f.u.): 0.04
E_form (uncorrected) (meV per atom): 102

---

(6)
## P2PtCl8 (PBE)

Data for a relaxed P2PtCl8 crystal.

```
11
Lattice="6.416 -4.431 0.000 6.416 4.431 0.000 -5.220 0.000 6.723" Properties=species:S:1:pos:R:3 pbc="T T T"
P 1.915 0.000 1.249
P 5.697 0.000 5.475
Pt 0.000 0.000 0.000
Cl -1.135 0.000 2.029
Cl 2.093 1.590 2.473
Cl 3.677 0.000 0.261
Cl 2.093 -1.590 2.473
Cl 5.519 1.590 4.250
Cl 3.936 0.000 6.462
Cl 5.519 -1.590 4.250
Cl 8.747 0.000 4.694
```

## Properties
Space-group type: C2/m
E_form (uncorrected) (meV per atom): -692

---

(7)
## TmZrZnCo (PBE)

Data for a relaxed TmZrZnCo crystal.

```
16
Lattice="6.663 0.000 0.000 0.000 6.663 0.000 0.000 0.000 6.663" Properties=species:S:1:pos:R:3 pbc="T T T"
Tm 0.000 0.000 0.000
Tm 0.000 3.332 3.332
Tm 3.332 0.000 3.332
Tm 3.332 3.332 0.000
Zr 0.000 0.000 3.332
Zr 0.000 3.332 0.000
Zr 3.332 0.000 0.000
Zr 3.332 3.332 3.332
Zn 1.666 1.666 1.666
Zn 1.666 4.997 4.997
Zn 4.997 1.666 4.997
Zn 4.997 4.997 1.666
Co 1.666 1.666 4.997
Co 1.666 4.997 1.666
Co 4.997 1.666 1.666
Co 4.997 4.997 4.997
```

## Properties
Space-group type: F-43m
ΔH_f (0 K) (eV per atom): -0.2088

---

(8)
## TiCrTcRu (PBE)

Data for a relaxed TiCrTcRu crystal.

```
16
Lattice="6.067 0.000 0.000 0.000 6.067 0.000 0.000 0.000 6.067" Properties=species:S:1:pos:R:3 pbc="T T T"
Ti 0.000 0.000 0.000
Ti 0.000 3.034 3.034
Ti 3.034 0.000 3.034
Ti 3.034 3.034 0.000
Cr 0.000 0.000 3.034
Cr 0.000 3.034 0.000
Cr 3.034 0.000 0.000
Cr 3.034 3.034 3.034
Tc 1.517 1.517 4.550
Tc 1.517 4.550 1.517
Tc 4.550 1.517 1.517
Tc 4.550 4.550 4.550
Ru 1.517 1.517 1.517
Ru 1.517 4.550 4.550
Ru 4.550 1.517 4.550
Ru 4.550 4.550 1.517
```

## Properties
Space-group type: F-43m
ΔH_f (0 K) (eV per atom): -0.2432

---

Raw total energy readings, ordered: -45.838; -5.402; -32.090; -27.112; -13.541; -39.251; -88.939; -152.532 eV for the cell shown
V readings, ordered: 109.47; 153.31; 143.54; 55.14; 98.24; 382.31; 295.85; 223.33 Å³ per cell
Magnetic moment readings, ordered: 0.0; 0.0; 0.0; 4.9; 0.0; 0.0; 0.4; 1.0 μB per formula unit